(1)
Density functional theory data (PBE) for crystalline MgMnIr2 at its relaxed geometry.

Unit cell a=7.085 b=7.085 c=5.214 alpha=90.00 beta=90.00 gamma=90.00
Space group I-42d (No. 122)
Inequivalent atoms, fractional coordinates:
1 Mg 0.000 0.000 0.000 x4
2 Mn 0.000 0.000 0.500 x4
3 Ir 0.207 0.250 0.625 x8

Calculated values
magnetization: 3.04 μB per formula unit
energy: -6.86 eV/atom


(2)
Density functional theory data (PBE) for crystalline MgMnIr2 at its relaxed geometry.

Unit cell a=3.803 b=3.803 c=8.041 alpha=90.00 beta=90.00 gamma=90.00
Space group I-4m2 (No. 119)
Inequivalent atoms, fractional coordinates:
1 Mg 0.000 0.000 0.000 x2
2 Mn 0.000 0.500 0.750 x2
3 Ir 0.000 0.000 0.500 x2
4 Ir 0.000 0.500 0.250 x2

Calculated values
magnetization: 2.75 μB per formula unit
energy: -7.26 eV/atom


(3)
Density functional theory data (PBE) for crystalline MgMnIr2 at its relaxed geometry.

Unit cell a=9.277 b=2.809 c=4.591 alpha=90.00 beta=100.19 gamma=90.00
Space group Cm (No. 8)
Inequivalent atoms, fractional coordinates:
1 Mg 0.000 0.000 0.000 x2
2 Mn 0.263 0.500 0.261 x2
3 Ir 0.007 0.500 0.504 x2
4 Ir 0.246 0.000 0.738 x2

Calculated values
magnetization: 3.10 μB per formula unit
energy: -7.27 eV/atom


(4)
Density functional theory data (PBE) for crystalline MgMn3Ir at its relaxed geometry.

Unit cell a=4.846 b=4.846 c=4.846 alpha=90.00 beta=90.00 gamma=90.00
Space group Pm-3m (No. 221)
Inequivalent atoms, fractional coordinates:
1 Mg 0.000 0.000 0.000 x1
2 Mn 0.000 0.500 0.500 x3
3 Ir 0.500 0.500 0.500 x1

Calculated values
magnetization: 12.83 μB per formula unit
energy: -6.80 eV/atom


(5)
Density functional theory data (PBE) for crystalline MgMnIr2 at its relaxed geometry.

Unit cell a=2.967 b=4.678 c=8.622 alpha=90.00 beta=90.00 gamma=90.00
Space group Cmmm (No. 65)
Inequivalent atoms, fractional coordinates:
1 Mg 0.000 0.000 0.000 x2
2 Mn 0.000 0.000 0.500 x2
3 Ir 0.000 0.500 0.259 x4

Calculated values
magnetization: 4.05 μB per formula unit
energy: -7.19 eV/atom


(6)
Density functional theory data (PBE) for crystalline Mg3MnIr at its relaxed geometry.

Unit cell a=4.747 b=4.747 c=4.747 alpha=90.00 beta=90.00 gamma=90.00
Space group Pm-3m (No. 221)
Inequivalent atoms, fractional coordinates:
1 Mg 0.000 0.000 0.500 x3
2 Mn 0.000 0.000 0.000 x1
3 Ir 0.500 0.500 0.500 x1

Calculated values
magnetization: 3.65 μB per formula unit
energy: -3.39 eV/atom


(7)
Density functional theory data (PBE) for crystalline Mg2Mn2Ir at its relaxed geometry.

Unit cell a=6.059 b=6.059 c=4.326 alpha=90.00 beta=90.00 gamma=90.00
Space group P4/mbm (No. 127)
Inequivalent atoms, fractional coordinates:
1 Mg 0.182 0.318 0.000 x4
2 Mn 0.117 0.617 0.500 x4
3 Ir 0.000 0.000 0.500 x2

Calculated values
magnetization: 2.47 μB per formula unit
energy: -5.91 eV/atom


(8)
Density functional theory data (PBE) for crystalline MgMnIr2 at its relaxed geometry.

Unit cell a=2.778 b=3.963 c=5.368 alpha=90.00 beta=90.00 gamma=90.00
Space group Pmm2 (No. 25)
Inequivalent atoms, fractional coordinates:
1 Mg 0.000 0.000 0.000 x1
2 Mn 0.500 0.500 0.279 x1
3 Ir 0.000 0.000 0.496 x1
4 Ir 0.500 0.500 0.763 x1

Calculated values
magnetization: 3.36 μB per formula unit
energy: -7.23 eV/atom


(9)
Density functional theory data (PBE) for crystalline MgMnIr2 at its relaxed geometry.

Unit cell a=2.929 b=4.344 c=4.670 alpha=90.00 beta=90.00 gamma=90.00
Space group Pmmm (No. 47)
Inequivalent atoms, fractional coordinates:
1 Mg 0.000 0.000 0.000 x1
2 Mn 0.500 0.000 0.500 x1
3 Ir 0.000 0.500 0.500 x1
4 Ir 0.500 0.500 0.000 x1

Calculated values
magnetization: 3.96 μB per formula unit
energy: -7.18 eV/atom


(10)
Density functional theory data (PBE) for crystalline MgMnIr3 at its relaxed geometry.

Unit cell a=4.423 b=4.423 c=4.423 alpha=90.00 beta=90.00 gamma=90.00
Space group Pm-3m (No. 221)
Inequivalent atoms, fractional coordinates:
1 Mg 0.000 0.000 0.000 x1
2 Mn 0.500 0.500 0.500 x1
3 Ir 0.000 0.000 0.500 x3

Calculated values
magnetization: 0.04 μB per formula unit
energy: -5.53 eV/atom


(11)
Density functional theory data (PBE) for crystalline Mg2Mn2Ir at its relaxed geometry.

Unit cell a=3.085 b=3.085 c=16.399 alpha=90.00 beta=90.00 gamma=90.00
Space group I4/mmm (No. 139)
Inequivalent atoms, fractional coordinates:
1 Mg 0.000 0.000 0.099 x4
2 Mn 0.000 0.500 0.250 x4
3 Ir 0.000 0.000 0.500 x2

Calculated values
magnetization: 0.70 μB per formula unit
energy: -5.81 eV/atom


(12)
Density functional theory data (PBE) for crystalline MgMnIr2 at its relaxed geometry.

Unit cell a=2.715 b=4.493 c=10.460 alpha=90.00 beta=90.00 gamma=90.00
Space group Immm (No. 71)
Inequivalent atoms, fractional coordinates:
1 Mg 0.000 0.000 0.000 x2
2 Mn 0.000 0.000 0.500 x2
3 Ir 0.000 0.000 0.278 x4

Calculated values
magnetization: 2.04 μB per formula unit
energy: -6.81 eV/atom


(13)
Density functional theory data (PBE) for crystalline MgMnIr2 at its relaxed geometry.

Unit cell a=3.037 b=3.037 c=6.289 alpha=90.00 beta=90.00 gamma=90.00
Space group P4/mmm (No. 123)
Inequivalent atoms, fractional coordinates:
1 Mg 0.000 0.000 0.000 x1
2 Mn 0.000 0.000 0.500 x1
3 Ir 0.500 0.500 0.270 x2

Calculated values
magnetization: 3.29 μB per formula unit
energy: -7.38 eV/atom


(14)
Density functional theory data (PBE) for crystalline MgMnIr3 at its relaxed geometry.

Unit cell a=4.489 b=4.489 c=4.489 alpha=90.00 beta=90.00 gamma=90.00
Space group Pm-3m (No. 221)
Inequivalent atoms, fractional coordinates:
1 Mg 0.000 0.000 0.000 x1
2 Mn 0.500 0.500 0.500 x1
3 Ir 0.000 0.500 0.500 x3

Calculated values
magnetization: 0.00 μB per formula unit
energy: -6.55 eV/atom


(15)
Density functional theory data (PBE) for crystalline MgMnIr2 at its relaxed geometry.

Unit cell a=2.906 b=4.655 c=8.817 alpha=90.00 beta=90.00 gamma=90.00
Space group Immm (No. 71)
Inequivalent atoms, fractional coordinates:
1 Mg 0.000 0.000 0.000 x2
2 Mn 0.000 0.000 0.500 x2
3 Ir 0.000 0.500 0.235 x4

Calculated values
magnetization: 3.68 μB per formula unit
energy: -7.22 eV/atom


(16)
Density functional theory data (PBE) for crystalline MgMnIr2 at its relaxed geometry.

Unit cell a=6.226 b=6.226 c=6.226 alpha=90.00 beta=90.00 gamma=90.00
Space group F-43m (No. 216)
Inequivalent atoms, fractional coordinates:
1 Mg 0.000 0.000 0.000 x4
2 Mn 0.250 0.250 0.250 x4
3 Ir 0.000 0.000 0.500 x4
4 Ir 0.250 0.250 0.750 x4

Calculated values
magnetization: 4.15 μB per formula unit
energy: -7.07 eV/atom


(17)
Density functional theory data (PBE) for crystalline MgMnIr2 at its relaxed geometry.

Unit cell a=2.790 b=2.790 c=7.947 alpha=90.00 beta=90.00 gamma=90.00
Space group P4mm (No. 99)
Inequivalent atoms, fractional coordinates:
1 Mg 0.000 0.000 0.000 x1
2 Mn 0.500 0.500 0.290 x1
3 Ir 0.000 0.000 0.517 x1
4 Ir 0.500 0.500 0.751 x1

Calculated values
magnetization: 3.33 μB per formula unit
energy: -7.13 eV/atom


(18)
Density functional theory data (PBE) for crystalline MgMnIr2 at its relaxed geometry.

Unit cell a=2.8497 b=2.8497 c=25.4959 alpha=90.00 beta=90.00 gamma=120.00
Space group R-3m (No. 166, hexagonal axes)
Inequivalent atoms, fractional coordinates:
1 Mg 0.0000 0.0000 0.0000 x3
2 Mn 0.0000 0.0000 0.5000 x3
3 Ir 0.0000 0.0000 0.2453 x6

Calculated values
magnetization: 3.74 μB per formula unit
energy: -7.24 eV/atom


(19)
Density functional theory data (PBE) for crystalline MgMnNi2Ir at its relaxed geometry.

Unit cell a=4.161 b=4.161 c=4.486 alpha=90.00 beta=90.00 gamma=90.00
Space group P4/mmm (No. 123)
Inequivalent atoms, fractional coordinates:
1 Mg 0.000 0.000 0.000 x1
2 Mn 0.000 0.000 0.500 x1
3 Ni 0.000 0.500 0.000 x2
4 Ir 0.500 0.500 0.500 x1

Calculated values
magnetization: 4.92 μB per formula unit
energy: -4.86 eV/atom